4
Lattice="-1.4037 -1.3234 -3.0076 -2.4127 -2.6306 0.1611 -9.2842 6.0606 -0.4561" Properties=species:S:1:pos:R:3 comment="SmDy2Si (PBE, optimized geometry)" spacegroup="R-3m (166)" formation_energy_uncorrected_ev_per_fu=0.0 density_g_cm3=6.9 e_above_lowest_polymorph_mev_per_atom=253 pbc="T T T"
Si -6.5503 1.0533 -1.6513
Sm 0.0000 0.0000 0.0000
Dy -6.7032 3.6837 -0.6148
Dy -6.3974 -1.5771 -2.6878

4
Lattice="5.2518 0.2427 4.9903 6.3153 -2.4741 2.5572 6.9426 1.1779 1.7194" Properties=species:S:1:pos:R:3 comment="PdNCl2 (PBE, optimized geometry)" spacegroup="R-3m (166)" formation_energy_uncorrected_ev_per_fu=4.4 density_g_cm3=3.7 e_above_lowest_polymorph_mev_per_atom=130 pbc="T T T"
N 0.0000 0.0000 0.0000
Pd 9.2549 -0.5268 4.6334
Cl 16.6642 -0.9485 8.3429
Cl 1.8456 -0.1050 0.9240

5
Lattice="4.8680 0.0000 0.0000 0.0000 4.8680 0.0000 0.0000 0.0000 4.8680" Properties=species:S:1:pos:R:3 comment="TcGe3W (PBE, optimized geometry)" formation_enthalpy_0k_ev_per_atom=1.170 spacegroup="Pm-3m (221)" density_g_cm3=7.2 e_above_lowest_polymorph_mev_per_atom=899 pbc="T T T"
Ge 0.0000 2.4340 0.0000
Ge 0.0000 0.0000 2.4340
Ge 2.4340 0.0000 0.0000
Tc 2.4340 2.4340 2.4340
W 0.0000 0.0000 0.0000

4
Lattice="-0.2808 1.9577 -2.0489 -2.4247 -0.6419 1.3485 1.4950 6.0335 5.5601" Properties=species:S:1:pos:R:3 comment="Si2RuAu (PBE, optimized geometry)" spacegroup="Cmm2 (35)" formation_energy_uncorrected_ev_per_fu=1.1 density_g_cm3=9.5 e_above_lowest_polymorph_mev_per_atom=477 pbc="T T T"
Au 0.7370 2.9745 2.7411
Ru -0.1792 5.3943 4.0145
Si 1.4840 5.9890 5.5190
Si -1.0099 2.0418 0.9251